1.
Below is a relaxed SmTaTc2 crystal, with properties calculated at the PBE-GGA level.

POSCAR file:
```
SmTaTc2
1.0
3.278 0.000 0.000
0.000 3.278 0.000
0.000 0.000 6.898
Sm Ta Tc
1 1 2
Direct
0.500 0.500 0.500 Sm
0.500 0.500 0.000 Ta
0.000 0.000 0.217 Tc
0.000 0.000 0.783 Tc
```

Energy in eV/atom: -9.379
Energy relative to the elements in kcal/mol of atoms: -1.213
DOS at the Fermi energy in states/eV per cell: 3.78

=====

2.
Below is a relaxed Ac2In3Ag4Pb crystal, with properties calculated at the PBE-GGA level.

POSCAR file:
```
Ac2In3Ag4Pb
1.0
4.788 0.000 0.000
0.000 4.788 0.000
0.000 0.000 11.600
Ag In Ac Pb
4 3 2 1
Direct
0.500 0.000 0.642 Ag
0.500 0.500 0.000 Ag
0.000 0.500 0.358 Ag
0.000 0.000 0.000 Ag
0.500 0.000 0.875 In
0.000 0.000 0.500 In
0.000 0.500 0.125 In
0.000 0.500 0.762 Ac
0.500 0.000 0.238 Ac
0.500 0.500 0.500 Pb
```

Energy in eV/atom: -3.449
Energy relative to the elements in kcal/mol of atoms: -6.788
DOS at the Fermi energy in states/eV per cell: 6.85

=====

3.
Below is a relaxed ZrCu2Ir crystal, with properties calculated at the PBE-GGA level.

POSCAR file:
```
ZrCu2Ir
1.0
0.000 3.105 3.105
3.105 0.000 3.105
3.105 3.105 0.000
Cu Ir Zr
2 1 1
Direct
0.250 0.250 0.250 Cu
0.750 0.750 0.750 Cu
0.500 0.500 0.500 Ir
0.000 0.000 0.000 Zr
```

Energy in eV/atom: -6.599
Energy relative to the elements in kcal/mol of atoms: -4.585
DOS at the Fermi energy in states/eV per cell: 5.01
Excess energy over the best structure of this formula in the dataset in meV/atom: 192

=====

4.
Below is a relaxed LiGe6 crystal, with properties calculated at the PBE-GGA level.

POSCAR file:
```
LiGe6
1.0
-5.611 1.840 -1.715
0.887 -5.815 -1.792
0.493 0.357 6.119
Ge Li
6 1
Direct
0.250 0.750 0.500 Ge
0.750 0.250 0.500 Ge
0.500 0.750 0.250 Ge
0.750 0.500 0.250 Ge
0.250 0.500 0.750 Ge
0.500 0.250 0.750 Ge
0.000 0.000 0.000 Li
```

Energy in eV/atom: -4.067
Energy relative to the elements in kcal/mol of atoms: 3.782
DOS at the Fermi energy in states/eV per cell: 2.61

=====

5.
Below is a relaxed NbFeTeI2 crystal, with properties calculated at the PBE-GGA level.

POSCAR file:
```
NbFeTeI2
1.0
5.021 0.000 0.000
0.000 5.021 0.000
0.000 0.000 5.027
I Te Nb Fe
2 1 1 1
Direct
0.000 0.500 0.000 I
0.500 0.000 0.000 I
0.000 0.000 0.500 Te
0.500 0.500 0.500 Nb
0.000 0.000 0.000 Fe
```

Uncorrected formation energy in eV/atom: 1.0746
Energy in eV/atom: -3.880
DOS at the Fermi energy in states/eV per cell: 8.61
Excess energy over the best structure of this formula in the dataset in meV/atom: 303

=====

6.
Below is a relaxed KTeIr2 crystal, with properties calculated at the PBE-GGA level.

POSCAR file:
```
KTeIr2
1.0
6.881 -0.264 -0.161
5.644 3.945 -0.161
5.644 1.659 3.583
Ir K Te
2 1 1
Direct
0.308 0.308 0.308 Ir
0.974 0.974 0.974 Ir
0.512 0.512 0.512 K
0.706 0.706 0.706 Te
```

Uncorrected formation energy in eV/atom: 0.1221
Energy in eV/atom: -5.368
DOS at the Fermi energy in states/eV per cell: 4.28

=====

7.
Below is a relaxed ZrTc2PdC crystal, with properties calculated at the PBE-GGA level.

POSCAR file:
```
ZrTc2PdC
1.0
4.740 0.000 0.000
0.000 4.904 0.000
0.000 0.000 4.740
Zr Pd Tc C
1 1 2 1
Direct
0.000 0.000 0.000 Zr
0.000 0.500 0.000 Pd
0.000 0.000 0.500 Tc
0.500 0.000 0.000 Tc
0.500 0.500 0.500 C
```

Energy in eV/atom: -5.796
Energy relative to the elements in kcal/mol of atoms: 67.873
DOS at the Fermi energy in states/eV per cell: 8.08

=====

8.
Below is a relaxed Ba2NaSnIr crystal, with properties calculated at the PBE-GGA level.

POSCAR file:
```
Ba2NaSnIr
1.0
6.217 0.000 0.000
0.000 6.217 0.000
0.000 0.000 5.150
Na Ir Sn Ba
1 1 1 2
Direct
0.500 0.500 0.500 Na
0.000 0.000 0.000 Ir
0.000 0.000 0.500 Sn
0.000 0.500 0.000 Ba
0.500 0.000 0.000 Ba
```

Energy in eV/atom: -3.848
Energy relative to the elements in kcal/mol of atoms: -5.584
DOS at the Fermi energy in states/eV per cell: 4.22

=====

Q: Which of these has the highest DOS at the Fermi energy?
A: NbFeTeI2

=====

Please write out number 6 again, unchanged.
Below is a relaxed KTeIr2 crystal, with properties calculated at the PBE-GGA level.

POSCAR file:
```
KTeIr2
1.0
6.881 -0.264 -0.161
5.644 3.945 -0.161
5.644 1.659 3.583
Ir K Te
2 1 1
Direct
0.308 0.308 0.308 Ir
0.974 0.974 0.974 Ir
0.512 0.512 0.512 K
0.706 0.706 0.706 Te
```

Uncorrected formation energy in eV/atom: 0.1221
Energy in eV/atom: -5.368
DOS at the Fermi energy in states/eV per cell: 4.28

=====

Q: What is the formula in the second record?
A: Ac2In3Ag4Pb

=====

Q: DOS at the Fermi energy of number 3 (ZrCu2Ir)?
A: 5.01 states/eV per cell